*P*
# MgAlAg5

A relaxed structure of MgAlAg5 (PBE, Alexandria).

Lattice parameters (Å, degrees): 4.8553 4.8553 10.9502 90.00 90.00 81.86
Last column: nearest neighbours and their distance in Å.
Element x y z (fractional)
Mg (0.1466, 0.8534, 0.7500)  5 Ag 2.66-2.82
Mg (0.8534, 0.1466, 0.2500)  5 Ag 2.66-2.82
Al (0.5000, 0.5000, 0.0000)  10 Ag 2.66-2.96
Al (0.5000, 0.5000, 0.5000)  10 Ag 2.66-2.96
Ag (0.0584, 0.3447, 0.6096)  2 Al 2.66-2.96, 1 Mg 2.82, 3 Ag 2.83-2.96
Ag (0.0584, 0.3447, 0.8904)  2 Al 2.66-2.96, 1 Mg 2.82, 3 Ag 2.83-2.96
Ag (0.3447, 0.0584, 0.1096)  2 Al 2.66-2.96, 1 Mg 2.82, 3 Ag 2.83-2.96
Ag (0.3447, 0.0584, 0.3904)  2 Al 2.66-2.96, 1 Mg 2.82, 3 Ag 2.83-2.96
Ag (0.4359, 0.5641, 0.2500)  1 Mg 2.66, 2 Al 2.77, 4 Ag 2.83
Ag (0.5641, 0.4359, 0.7500)  1 Mg 2.66, 2 Al 2.77, 4 Ag 2.83
Ag (0.6553, 0.9416, 0.6096)  2 Al 2.66-2.96, 1 Mg 2.82, 3 Ag 2.83-2.96
Ag (0.6553, 0.9416, 0.8904)  2 Al 2.66-2.96, 1 Mg 2.82, 3 Ag 2.83-2.96
Ag (0.9416, 0.6553, 0.1096)  2 Al 2.66-2.96, 1 Mg 2.82, 3 Ag 2.83-2.96
Ag (0.9416, 0.6553, 0.3904)  2 Al 2.66-2.96, 1 Mg 2.82, 3 Ag 2.83-2.96

Output
For the calculated volume, the calculation gives 18.3 Å³ per atom. As for the space group: Cmcm (63). The magnetization comes out at 0.0 μB per formula unit.

---

*Q*
# MgAlAg5

A relaxed structure of MgAlAg5 (PBE, Alexandria).

Lattice parameters (Å, degrees): 6.6453 6.6453 6.6453 111.12 86.22 134.88
Last column: nearest neighbours and their distance in Å.
Element x y z (fractional)
Mg (0.0000, 0.0000, 0.0000)  4 Ag 2.47-2.72
Al (0.8466, 0.3466, 0.5000)  4 Ag 2.49-2.74
Ag (0.3171, 0.6422, 0.3251)  2 Ag 2.63-2.65, 1 Al 2.74, 1 Mg 2.93
Ag (0.3171, 0.9920, 0.6749)  2 Ag 2.63-2.65, 1 Al 2.74, 1 Mg 2.93
Ag (0.4908, 0.2410, 0.2498)  1 Al 2.49, 1 Mg 2.72
Ag (0.5161, 0.5161, 0.0000)  2 Mg 2.47-2.63, 2 Ag 2.65
Ag (0.9912, 0.2410, 0.7502)  1 Al 2.49, 1 Mg 2.72

Output
For the calculated volume, the calculation gives 26.6 Å³ per atom. As for the space group: Imm2 (44). The magnetization comes out at 0.0 μB per formula unit.

---

Which structure is the most stable? The one labeled *P*.

---

*P*
# Mg2Al2Ag5

A relaxed structure of Mg2Al2Ag5 (PBE, Alexandria).

Lattice parameters (Å, degrees): 9.3300 9.3300 9.3300 61.15 132.13 144.26
Last column: nearest neighbours and their distance in Å.
Element x y z (fractional)
Mg (0.0000, 0.0000, 0.0000)  4 Ag 3.02-3.08, 4 Al 3.11-3.15
Mg (0.0000, 0.5000, 0.5000)  4 Ag 3.02-3.08, 4 Al 3.11-3.15
Mg (0.0588, 0.2584, 0.3004)  11 Ag 2.84-3.08
Mg (0.9580, 0.7584, 0.6996)  11 Ag 2.84-3.08
Al (0.4642, 0.5737, 0.0455)  1 Al 2.54, 5 Ag 2.57-2.83
Al (0.4642, 0.9187, 0.3905)  1 Al 2.54, 5 Ag 2.57-2.83
Al (0.5282, 0.0737, 0.6095)  1 Al 2.54, 5 Ag 2.57-2.83
Al (0.5282, 0.4187, 0.9545)  1 Al 2.54, 5 Ag 2.57-2.83
Ag (0.0002, 0.1344, 0.6272)  2 Al 2.66, 3 Ag 2.86-2.97, 2 Mg 2.96
Ag (0.0002, 0.8730, 0.3658)  2 Al 2.66, 3 Ag 2.86-2.97, 2 Mg 2.96
Ag (0.0013, 0.4200, 0.9050)  2 Al 2.57-2.58, 3 Ag 2.83-2.86
Ag (0.0013, 0.5963, 0.0813)  2 Al 2.57-2.58, 3 Ag 2.83-2.86
Ag (0.4604, 0.2537, 0.7067)  2 Al 2.83, 3 Mg 2.84-3.08, 8 Ag 2.97-3.02
Ag (0.5072, 0.3730, 0.3728)  2 Al 2.66, 3 Ag 2.86-2.97, 2 Mg 2.96
Ag (0.5072, 0.6344, 0.6342)  2 Al 2.66, 3 Ag 2.86-2.97, 2 Mg 2.96
Ag (0.5150, 0.0963, 0.0950)  2 Al 2.57-2.58, 3 Ag 2.83-2.86
Ag (0.5150, 0.9200, 0.9187)  2 Al 2.57-2.58, 3 Ag 2.83-2.86
Ag (0.5470, 0.7537, 0.2933)  2 Al 2.83, 3 Mg 2.84-3.08, 8 Ag 2.97-3.02

Output
For the calculated volume, the calculation gives 19.3 Å³ per atom. As for the space group: Ima2 (46). The magnetization comes out at 0.0 μB per formula unit.

---

*Q*
# Mg2Al2Ag5

A relaxed structure of Mg2Al2Ag5 (PBE, Alexandria).

Lattice parameters (Å, degrees): 7.6097 7.6097 7.0406 90.00 90.00 56.08
Last column: nearest neighbours and their distance in Å.
Element x y z (fractional)
Mg (0.2120, 0.2120, 0.0000)  7 Ag 2.73-2.91
Mg (0.2880, 0.2880, 0.5000)  7 Ag 2.73-2.91
Mg (0.7120, 0.7120, 0.5000)  7 Ag 2.73-2.91
Mg (0.7880, 0.7880, 0.0000)  7 Ag 2.73-2.91
Al (0.1341, 0.8659, 0.6310)  8 Ag 2.63-2.79, 1 Al 2.66
Al (0.3659, 0.6341, 0.1310)  8 Ag 2.63-2.79, 1 Al 2.66
Al (0.6341, 0.3659, 0.8690)  8 Ag 2.63-2.79, 1 Al 2.66
Al (0.8659, 0.1341, 0.3690)  8 Ag 2.63-2.79, 1 Al 2.66
Ag (0.0000, 0.0000, 0.0000)  4 Al 2.77-2.78, 2 Mg 2.85
Ag (0.0362, 0.7044, 0.3236)  3 Al 2.63-2.79, 3 Mg 2.73-2.91
Ag (0.2044, 0.5362, 0.8236)  3 Al 2.63-2.79, 3 Mg 2.73-2.91
Ag (0.2956, 0.9638, 0.3236)  3 Al 2.63-2.79, 3 Mg 2.73-2.91
Ag (0.4638, 0.7956, 0.8236)  3 Al 2.63-2.79, 3 Mg 2.73-2.91
Ag (0.5000, 0.5000, 0.5000)  4 Al 2.77-2.78, 2 Mg 2.85
Ag (0.5362, 0.2044, 0.1764)  3 Al 2.63-2.79, 3 Mg 2.73-2.91
Ag (0.7044, 0.0362, 0.6764)  3 Al 2.63-2.79, 3 Mg 2.73-2.91
Ag (0.7956, 0.4638, 0.1764)  3 Al 2.63-2.79, 3 Mg 2.73-2.91
Ag (0.9638, 0.2956, 0.6764)  3 Al 2.63-2.79, 3 Mg 2.73-2.91

Output
For the calculated volume, the calculation gives 18.8 Å³ per atom. As for the space group: Cmce (64). The magnetization comes out at 0.0 μB per formula unit.

---

Which structure is the most stable? The one labeled *P*.

---

*P*
# Mg6AlAg

A relaxed structure of Mg6AlAg (PBE, Alexandria).

Lattice parameters (Å, degrees): 5.0251 5.0251 8.4211 90.43 90.43 119.80
Last column: nearest neighbours and their distance in Å.
Element x y z (fractional)
Mg (0.0086, 0.0086, 0.1681)  1 Al 2.80, 1 Mg 2.83, 2 Ag 2.87-2.91
Mg (0.3197, 0.6494, 0.6823)  7 Mg 2.87-3.17, 1 Ag 3.03, 1 Al 3.20
Mg (0.3506, 0.6803, 0.3177)  7 Mg 2.87-3.17, 1 Ag 3.03, 1 Al 3.20
Mg (0.6494, 0.3197, 0.6823)  7 Mg 2.87-3.17, 1 Ag 3.03, 1 Al 3.20
Mg (0.6803, 0.3506, 0.3177)  7 Mg 2.87-3.17, 1 Ag 3.03, 1 Al 3.20
Mg (0.9914, 0.9914, 0.8319)  1 Al 2.80, 1 Mg 2.83, 2 Ag 2.87-2.91
Al (0.0000, 0.0000, 0.5000)  2 Mg 2.80
Ag (0.5000, 0.5000, 0.0000)  8 Mg 2.87-3.03

Output
For the calculated volume, the calculation gives 23.1 Å³ per atom. As for the space group: C2/m (12). The magnetization comes out at 0.0 μB per formula unit.

---

*Q*
# Mg6AlAg

A relaxed structure of Mg6AlAg (PBE, Alexandria).

Lattice parameters (Å, degrees): 8.7381 8.7381 8.7381 149.76 149.76 43.29
Last column: nearest neighbours and their distance in Å.
Element x y z (fractional)
Mg (0.1121, 0.6121, 0.5000)  2 Al 2.92, 2 Ag 2.92, 8 Mg 3.18-3.22
Mg (0.2490, 0.2490, 0.0000)  12 Mg 3.18-3.22
Mg (0.3879, 0.8879, 0.5000)  2 Al 2.92, 2 Ag 2.92, 8 Mg 3.18-3.22
Mg (0.6121, 0.1121, 0.5000)  2 Al 2.92, 2 Ag 2.92, 8 Mg 3.18-3.22
Mg (0.7510, 0.7510, 0.0000)  12 Mg 3.18-3.22
Mg (0.8879, 0.3879, 0.5000)  2 Al 2.92, 2 Ag 2.92, 8 Mg 3.18-3.22
Al (0.0000, 0.0000, 0.0000)  8 Mg 2.92, 4 Ag 3.22
Ag (0.5000, 0.5000, 0.0000)  8 Mg 2.92, 4 Al 3.22

Output
For the calculated volume, the calculation gives 21.1 Å³ per atom. As for the space group: I4/mmm (139). The magnetization comes out at 0.0 μB per formula unit.

---

Which structure is the most stable? The one labeled *Q*.

---

*P*
# Mg4AlAg2

A relaxed structure of Mg4AlAg2 (PBE, Alexandria).

Lattice parameters (Å, degrees): 8.9691 8.9691 8.9691 30.04 30.04 30.04
Last column: nearest neighbours and their distance in Å.
Element x y z (fractional)
Mg (0.1188, 0.1188, 0.1188)  3 Al 2.95, 3 Ag 2.98
Mg (0.2937, 0.2937, 0.2937)  4 Ag 2.78-2.79
Mg (0.7063, 0.7063, 0.7063)  4 Ag 2.78-2.79
Mg (0.8812, 0.8812, 0.8812)  3 Al 2.95, 3 Ag 2.98
Al (0.5000, 0.5000, 0.5000)  2 Ag 2.51
Ag (0.4021, 0.4021, 0.4021)  1 Al 2.51, 4 Mg 2.78-2.79
Ag (0.5979, 0.5979, 0.5979)  1 Al 2.51, 4 Mg 2.78-2.79

Output
For the calculated volume, the calculation gives 22.9 Å³ per atom. As for the space group: R-3m (166). The magnetization comes out at 0.0 μB per formula unit.

---

*Q*
# Mg4AlAg2

A relaxed structure of Mg4AlAg2 (PBE, Alexandria).

Lattice parameters (Å, degrees): 7.9997 7.9997 7.9997 33.98 33.98 33.98
Last column: nearest neighbours and their distance in Å.
Element x y z (fractional)
Mg (0.1148, 0.1148, 0.1148)  4 Ag 2.76-2.93, 3 Al 2.94
Mg (0.3692, 0.3692, 0.3692)  4 Ag 2.82-2.95, 1 Al 2.96, 3 Mg 3.15
Mg (0.6308, 0.6308, 0.6308)  4 Ag 2.82-2.95, 1 Al 2.96, 3 Mg 3.15
Mg (0.8852, 0.8852, 0.8852)  4 Ag 2.76-2.93, 3 Al 2.94
Al (0.5000, 0.5000, 0.5000)  8 Mg 2.94-2.96, 6 Ag 3.22
Ag (0.2444, 0.2444, 0.2444)  8 Mg 2.76-2.95
Ag (0.7556, 0.7556, 0.7556)  8 Mg 2.76-2.95

Output
For the calculated volume, the calculation gives 20.4 Å³ per atom. As for the space group: R-3m (166). The magnetization comes out at 0.0 μB per formula unit.

---

Which structure is the most stable? The one labeled *Q*.

---

*P*
# MgAl2Ag6

A relaxed structure of MgAl2Ag6 (PBE, Alexandria).

Lattice parameters (Å, degrees): 8.5168 8.5168 4.2901 90.00 90.00 90.00
Last column: nearest neighbours and their distance in Å.
Element x y z (fractional)
Mg (0.0000, 0.0000, 0.0000)  8 Ag 2.78-2.80
Mg (0.5000, 0.5000, 0.5000)  8 Ag 2.78-2.80
Al (0.1888, 0.1888, 0.5000)  10 Ag 2.78-2.92
Al (0.3112, 0.6888, 0.0000)  10 Ag 2.78-2.92
Al (0.6888, 0.3112, 0.0000)  10 Ag 2.78-2.92
Al (0.8112, 0.8112, 0.5000)  10 Ag 2.78-2.92
Ag (0.0147, 0.3282, 0.0000)  3 Al 2.78-2.87, 1 Mg 2.80, 8 Ag 2.90-2.99
Ag (0.1463, 0.8537, 0.5000)  2 Mg 2.78, 4 Al 2.88-2.92, 6 Ag 2.90-2.98
Ag (0.1718, 0.5147, 0.5000)  3 Al 2.78-2.87, 1 Mg 2.80, 8 Ag 2.90-2.99
Ag (0.3282, 0.0147, 0.0000)  3 Al 2.78-2.87, 1 Mg 2.80, 8 Ag 2.90-2.99
Ag (0.3537, 0.3537, 0.0000)  2 Mg 2.78, 4 Al 2.88-2.92, 6 Ag 2.90-2.98
Ag (0.4853, 0.8282, 0.5000)  3 Al 2.78-2.87, 1 Mg 2.80, 8 Ag 2.90-2.99
Ag (0.5147, 0.1718, 0.5000)  3 Al 2.78-2.87, 1 Mg 2.80, 8 Ag 2.90-2.99
Ag (0.6463, 0.6463, 0.0000)  2 Mg 2.78, 4 Al 2.88-2.92, 6 Ag 2.90-2.98
Ag (0.6718, 0.9853, 0.0000)  3 Al 2.78-2.87, 1 Mg 2.80, 8 Ag 2.90-2.99
Ag (0.8282, 0.4853, 0.5000)  3 Al 2.78-2.87, 1 Mg 2.80, 8 Ag 2.90-2.99
Ag (0.8537, 0.1463, 0.5000)  2 Mg 2.78, 4 Al 2.88-2.92, 6 Ag 2.90-2.98
Ag (0.9853, 0.6718, 0.0000)  3 Al 2.78-2.87, 1 Mg 2.80, 8 Ag 2.90-2.99

Output
For the calculated volume, the calculation gives 17.3 Å³ per atom. As for the space group: P4_2/mnm (136). The magnetization comes out at 0.0 μB per formula unit.

---

*Q*
# MgAl2Ag6

A relaxed structure of MgAl2Ag6 (PBE, Alexandria).

Lattice parameters (Å, degrees): 8.2017 8.2017 4.9406 95.26 95.26 71.87
Last column: nearest neighbours and their distance in Å.
Element x y z (fractional)
Mg (0.1206, 0.8794, 0.7500)  10 Ag 2.81-3.02
Mg (0.8794, 0.1206, 0.2500)  10 Ag 2.81-3.02
Al (0.2092, 0.4630, 0.9087)  10 Ag 2.70-3.02
Al (0.4630, 0.2092, 0.4087)  10 Ag 2.70-3.02
Al (0.5370, 0.7908, 0.5913)  10 Ag 2.70-3.02
Al (0.7908, 0.5370, 0.0913)  10 Ag 2.70-3.02
Ag (0.0158, 0.7542, 0.1940)  2 Al 2.76-2.92, 3 Mg 2.81-2.99, 5 Ag 2.82-3.04
Ag (0.1057, 0.3516, 0.3448)  4 Al 2.72-2.98, 5 Ag 2.87-2.91, 1 Mg 3.02
Ag (0.2458, 0.9842, 0.3060)  2 Al 2.76-2.92, 3 Mg 2.81-2.99, 5 Ag 2.82-3.04
Ag (0.3212, 0.5676, 0.4791)  4 Al 2.70-3.02, 5 Ag 2.79-2.91, 1 Mg 2.86
Ag (0.3516, 0.1057, 0.8448)  4 Al 2.72-2.98, 5 Ag 2.87-2.91, 1 Mg 3.02
Ag (0.4324, 0.6788, 0.0209)  4 Al 2.70-3.02, 5 Ag 2.79-2.91, 1 Mg 2.86
Ag (0.5676, 0.3212, 0.9791)  4 Al 2.70-3.02, 5 Ag 2.79-2.91, 1 Mg 2.86
Ag (0.6484, 0.8943, 0.1552)  4 Al 2.72-2.98, 5 Ag 2.87-2.91, 1 Mg 3.02
Ag (0.6788, 0.4324, 0.5209)  4 Al 2.70-3.02, 5 Ag 2.79-2.91, 1 Mg 2.86
Ag (0.7542, 0.0158, 0.6940)  2 Al 2.76-2.92, 3 Mg 2.81-2.99, 5 Ag 2.82-3.04
Ag (0.8943, 0.6484, 0.6552)  4 Al 2.72-2.98, 5 Ag 2.87-2.91, 1 Mg 3.02
Ag (0.9842, 0.2458, 0.8060)  2 Al 2.76-2.92, 3 Mg 2.81-2.99, 5 Ag 2.82-3.04

Output
For the calculated volume, the calculation gives 17.4 Å³ per atom. As for the space group: C2/c (15). The magnetization comes out at 0.0 μB per formula unit.

---

Which structure is the most stable? The one labeled *P*.